Cs2LiCuCl4: optimized geometry, GGA-PBE.

abc: 14.131 12.574 7.611
angles: 85.10 62.44 32.45
Positions (direct):
Cs1 0.051 0.051 0.699
Cs2 0.301 0.301 0.949
Cs3 0.699 0.699 0.051
Cs4 0.949 0.949 0.301
Li1 0.375 0.375 0.375
Li2 0.625 0.625 0.625
Cu1 0.125 0.125 0.125
Cu2 0.875 0.875 0.875
Cl1 0.031 0.322 0.418
Cl2 0.271 0.582 0.678
Cl3 0.322 0.031 0.729
Cl4 0.418 0.729 0.031
Cl5 0.582 0.271 0.969
Cl6 0.678 0.969 0.271
Cl7 0.729 0.418 0.322
Cl8 0.969 0.678 0.582

**E_tot**: -3.450 eV per atom
**N(E_F)**: 0.000 states/eV per cell
**Energy relative to the elements, uncorrected**: -1.56 eV/atom
**Symmetry**: Fddd, No. 70